PrNd5SmY2 | PBE | optimized geometry

## Properties
- spin magnetization (μB/atom) = 0.00
- symmetry = Cmc2_1 (36)
- crystal system = orthorhombic
- E (eV per cell) = -89.99

a = 10.6902 Å, b = 10.6902 Å, c = 10.6846 Å
α = 90.00°, β = 90.00°, γ = 148.72°
Fractional positions:
Pr: 0.0870 0.9130 0.5000
Pr: 0.9130 0.0870 0.0000
Nd: 0.0230 0.9770 0.7908
Nd: 0.1081 0.8919 0.0760
Nd: 0.2038 0.7962 0.7543
Nd: 0.2193 0.7807 0.3603
Nd: 0.4824 0.5176 0.0733
Nd: 0.5176 0.4824 0.5733
Nd: 0.7807 0.2193 0.8603
Nd: 0.7962 0.2038 0.2543
Nd: 0.8919 0.1081 0.5760
Nd: 0.9770 0.0230 0.2908
Sm: 0.2987 0.7013 0.0598
Sm: 0.7013 0.2987 0.5598
Y: 0.3824 0.6176 0.3743
Y: 0.3871 0.6129 0.7817
Y: 0.6129 0.3871 0.2818
Y: 0.6176 0.3824 0.8743

Pr2Nd6SmY3 | PBE | optimized geometry

## Properties
- spin magnetization (μB/atom) = 0.00
- symmetry = C2/m (12)
- crystal system = monoclinic
- E (eV per cell) = -62.13

a = 6.3464 Å, b = 6.3464 Å, c = 12.0739 Å
α = 95.02°, β = 95.02°, γ = 120.02°
Fractional positions:
Pr: 0.1666 0.8334 0.0000
Pr: 0.8334 0.1666 0.0000
Nd: 0.0827 0.4155 0.7468
Nd: 0.2517 0.2517 0.2535
Nd: 0.4155 0.0827 0.7468
Nd: 0.5845 0.9173 0.2532
Nd: 0.7483 0.7483 0.7465
Nd: 0.9173 0.5845 0.2532
Sm: 0.5000 0.5000 0.0000
Y: 0.0000 0.0000 0.5000
Y: 0.3334 0.6666 0.5000
Y: 0.6666 0.3334 0.5000

PrNdSm2Y5 | PBE | optimized geometry

## Properties
- spin magnetization (μB/atom) = 0.00
- symmetry = I4/mcm (140)
- crystal system = tetragonal
- E (eV per cell) = -98.30

a = 9.9609 Å, b = 9.9609 Å, c = 9.9609 Å
α = 127.56°, β = 127.56°, γ = 77.33°
Fractional positions:
Pr: 0.2500 0.2500 0.0000
Pr: 0.7500 0.7500 0.0000
Nd: 0.2500 0.7500 0.5000
Nd: 0.7500 0.2500 0.5000
Sm: 0.1166 0.6166 0.7331
Sm: 0.3834 0.1166 0.5000
Sm: 0.6166 0.8834 0.5000
Sm: 0.8834 0.3834 0.2669
Y: 0.0000 0.0000 0.0000
Y: 0.0714 0.1586 0.5000
Y: 0.1586 0.6586 0.0872
Y: 0.3414 0.4286 0.5000
Y: 0.4286 0.9286 0.0872
Y: 0.5000 0.5000 0.0000
Y: 0.5714 0.0714 0.9128
Y: 0.6586 0.5714 0.5000
Y: 0.8414 0.3414 0.9128
Y: 0.9286 0.8414 0.5000

Pr2Nd2SmY | PBE | optimized geometry

## Properties
- spin magnetization (μB/atom) = 0.00
- symmetry = Pmma (51)
- crystal system = orthorhombic
- E (eV per cell) = -59.96

a = 7.1610 Å, b = 5.7948 Å, c = 10.0174 Å
α = 90.00°, β = 90.00°, γ = 90.00°
Fractional positions:
Pr: 0.0000 0.0000 0.0000
Pr: 0.2500 0.5000 0.1745
Pr: 0.5000 0.0000 0.0000
Pr: 0.7500 0.5000 0.8255
Nd: 0.2500 0.0000 0.3321
Nd: 0.2500 0.5000 0.8357
Nd: 0.7500 0.0000 0.6679
Nd: 0.7500 0.5000 0.1643
Sm: 0.2500 0.0000 0.6608
Sm: 0.7500 0.0000 0.3392
Y: 0.0000 0.5000 0.5000
Y: 0.5000 0.5000 0.5000

PrNd6Sm3Y2 | PBE | optimized geometry

## Properties
- spin magnetization (μB/atom) = 0.00
- symmetry = C2/m (12)
- crystal system = monoclinic
- E (eV per cell) = -60.34

a = 6.3363 Å, b = 6.3363 Å, c = 12.0902 Å
α = 95.02°, β = 95.02°, γ = 120.00°
Fractional positions:
Pr: 0.0000 0.0000 0.0000
Nd: 0.0835 0.4172 0.2500
Nd: 0.2501 0.2501 0.7502
Nd: 0.4172 0.0835 0.2500
Nd: 0.5828 0.9165 0.7500
Nd: 0.7499 0.7499 0.2498
Nd: 0.9165 0.5828 0.7500
Sm: 0.1669 0.8331 0.5000
Sm: 0.5000 0.5000 0.5000
Sm: 0.8331 0.1669 0.5000
Y: 0.3335 0.6665 0.0000
Y: 0.6665 0.3335 0.0000

PrNdSmY2 | PBE | optimized geometry

## Properties
- spin magnetization (μB/atom) = 0.00
- symmetry = P2/c (13)
- crystal system = monoclinic
- E (eV per cell) = -51.63

a = 8.5772 Å, b = 6.6294 Å, c = 6.2298 Å
α = 90.00°, β = 95.65°, γ = 90.00°
Fractional positions:
Pr: 0.0000 0.0000 0.0000
Pr: 0.0000 0.0000 0.5000
Nd: 0.5000 0.1679 0.2500
Nd: 0.5000 0.8321 0.7500
Sm: 0.0000 0.4349 0.2500
Sm: 0.0000 0.5651 0.7500
Y: 0.3096 0.3151 0.7205
Y: 0.3096 0.6849 0.2205
Y: 0.6904 0.3151 0.7795
Y: 0.6904 0.6849 0.2795

Pr6NdSm3Y2 | PBE | optimized geometry

## Properties
- spin magnetization (μB/atom) = 0.00
- symmetry = C2/m (12)
- crystal system = monoclinic
- E (eV per cell) = -60.41

a = 6.3683 Å, b = 6.3683 Å, c = 12.0924 Å
α = 95.03°, β = 95.03°, γ = 120.01°
Fractional positions:
Pr: 0.0830 0.4164 0.7503
Pr: 0.2503 0.2503 0.2493
Pr: 0.4164 0.0830 0.7503
Pr: 0.5836 0.9170 0.2497
Pr: 0.7497 0.7497 0.7507
Pr: 0.9170 0.5836 0.2497
Nd: 0.5000 0.5000 0.0000
Sm: 0.0000 0.0000 0.5000
Sm: 0.3334 0.6666 0.5000
Sm: 0.6666 0.3334 0.5000
Y: 0.1666 0.8334 0.0000
Y: 0.8334 0.1666 0.0000

PrNdSmZr | PBE | optimized geometry

## Properties
- spin magnetization (μB/atom) = 0.25
- symmetry = F-43m (216)
- crystal system = cubic
- E (eV per cell) = -21.81

a = 5.6039 Å, b = 5.6039 Å, c = 5.6039 Å
α = 60.00°, β = 60.00°, γ = 60.00°
Fractional positions:
Pr: 0.0000 0.0000 0.0000
Nd: 0.2500 0.2500 0.2500
Sm: 0.5000 0.5000 0.5000
Zr: 0.7500 0.7500 0.7500

Pr2NdSn2 | PBE | optimized geometry

## Properties
- spin magnetization (μB/atom) = 0.00
- symmetry = P4/mbm (127)
- relative energy among the computed polymorphs (meV per atom) = 0
- crystal system = tetragonal

a = 8.3871 Å, b = 8.3871 Å, c = 4.5179 Å
α = 90.00°, β = 90.00°, γ = 90.00°
Fractional positions:
Pr: 0.1713 0.3287 0.0000
Pr: 0.3287 0.8287 0.0000
Pr: 0.6713 0.1713 0.0000
Pr: 0.8287 0.6713 0.0000
Nd: 0.0000 0.0000 0.5000
Nd: 0.5000 0.5000 0.5000
Sn: 0.1283 0.6283 0.5000
Sn: 0.3717 0.1283 0.5000
Sn: 0.6283 0.8717 0.5000
Sn: 0.8717 0.3717 0.5000

PrNd14Sn | PBE | optimized geometry

## Properties
- spin magnetization (μB/atom) = 0.00
- symmetry = P4/mmm (123)
- crystal system = tetragonal
- E (eV per cell) = -76.64

a = 7.2951 Å, b = 7.2951 Å, c = 10.2503 Å
α = 90.00°, β = 90.00°, γ = 90.00°
Fractional positions:
Pr: 0.0000 0.0000 0.0000
Nd: 0.0000 0.0000 0.5000
Nd: 0.0000 0.5000 0.0000
Nd: 0.0000 0.5000 0.5000
Nd: 0.2562 0.2562 0.2433
Nd: 0.2562 0.2562 0.7567
Nd: 0.2562 0.7438 0.2433
Nd: 0.2562 0.7438 0.7567
Nd: 0.5000 0.0000 0.0000
Nd: 0.5000 0.0000 0.5000
Nd: 0.5000 0.5000 0.5000
Nd: 0.7438 0.2562 0.2433
Nd: 0.7438 0.2562 0.7567
Nd: 0.7438 0.7438 0.2433
Nd: 0.7438 0.7438 0.7567
Sn: 0.5000 0.5000 0.0000

PrNd5Sn4 | PBE | optimized geometry

## Properties
- spin magnetization (μB/atom) = 0.00
- symmetry = C2/m (12)
- crystal system = monoclinic
- E (eV per cell) = -50.28

a = 8.7307 Å, b = 8.7307 Å, c = 7.3198 Å
α = 90.14°, β = 90.14°, γ = 36.80°
Fractional positions:
Pr: 0.0000 0.0000 0.0000
Nd: 0.0000 0.0000 0.5000
Nd: 0.3339 0.3339 0.0077
Nd: 0.3336 0.3336 0.4916
Nd: 0.6664 0.6664 0.5084
Nd: 0.6661 0.6661 0.9923
Sn: 0.1759 0.1759 0.7495
Sn: 0.4914 0.4914 0.7485
Sn: 0.5086 0.5086 0.2515
Sn: 0.8241 0.8241 0.2505

Pr2Nd3Sn2 | PBE | optimized geometry

## Properties
- spin magnetization (μB/atom) = 0.00
- symmetry = C2/m (12)
- crystal system = monoclinic
- E (eV per cell) = -33.98

a = 8.8082 Å, b = 8.8082 Å, c = 8.2372 Å
α = 115.83°, β = 115.83°, γ = 23.59°
Fractional positions:
Pr: 0.1128 0.1128 0.4727
Pr: 0.8872 0.8872 0.5273
Nd: 0.0000 0.0000 0.0000
Nd: 0.2117 0.2117 0.1441
Nd: 0.7883 0.7883 0.8559
Sn: 0.4195 0.4195 0.2249
Sn: 0.5805 0.5805 0.7751

Q: Among the records above, which one has the highest spin magnetization?
A: PrNdSmZr